[1]
A PBEsol-optimized structure of RbPd2SeBr, computed with meta-GGA SCAN.

CIF file:
```
data_RbPd2SeBr
_chemical_formula_sum 'Rb1 Pd2 Se1 Br1'
_symmetry_space_group_name_H-M 'P 4/m m m'
_symmetry_Int_Tables_number 123
_symmetry_space_group_name_Hall '-P 4 2'
_cell_length_a 4.959
_cell_length_b 4.959
_cell_length_c 6.039
_cell_angle_alpha 90.00
_cell_angle_beta 90.00
_cell_angle_gamma 90.00
loop_
_atom_site_label
_atom_site_fract_x
_atom_site_fract_y
_atom_site_fract_z
_atom_site_occupancy
Rb1 0.000 0.000 0.000 1
Pd1 0.000 0.500 0.000 1
Se1 0.000 0.000 0.500 1
Br1 0.500 0.500 0.500 1
```

Values from the calculation:
- ΔE_f (raw): 1.2870 eV/atom

[2]
A PBEsol-optimized structure of NbBN3, computed with meta-GGA SCAN.

CIF file:
```
data_NbBN3
_chemical_formula_sum 'Nb1 B1 N3'
_symmetry_space_group_name_H-M 'P m -3 m'
_symmetry_Int_Tables_number 221
_symmetry_space_group_name_Hall '-P 4 2 3'
_cell_length_a 4.073
_cell_length_b 4.073
_cell_length_c 4.073
_cell_angle_alpha 90.00
_cell_angle_beta 90.00
_cell_angle_gamma 90.00
loop_
_atom_site_label
_atom_site_fract_x
_atom_site_fract_y
_atom_site_fract_z
_atom_site_occupancy
Nb1 0.000 0.000 0.000 1
B1 0.500 0.500 0.500 1
N1 0.000 0.000 0.500 1
```

Values from the calculation:
- ΔE_f (raw): 1.5483 eV/atom

[3]
A PBEsol-optimized structure of SmAsRuO, computed with meta-GGA SCAN.

CIF file:
```
data_SmAsRuO
_chemical_formula_sum 'Sm2 As2 Ru2 O2'
_symmetry_space_group_name_H-M 'P 4/n m m'
_symmetry_Int_Tables_number 129
_cell_length_a 4.034
_cell_length_b 4.034
_cell_length_c 8.128
_cell_angle_alpha 90.00
_cell_angle_beta 90.00
_cell_angle_gamma 90.00
loop_
_symmetry_equiv_pos_as_xyz
'x,y,z'
'-x,-y,-z'
'-y+1/2,x,z'
'y+1/2,-x,-z'
'-x+1/2,-y+1/2,z'
'x+1/2,y+1/2,-z'
'y,-x+1/2,z'
'-y,x+1/2,-z'
'x+1/2,-y,-z'
'-x+1/2,y,z'
'-y,-x,-z'
'y,x,z'
'-x,y+1/2,-z'
'x,-y+1/2,z'
'y+1/2,x+1/2,-z'
'-y+1/2,-x+1/2,z'
loop_
_atom_site_label
_atom_site_fract_x
_atom_site_fract_y
_atom_site_fract_z
_atom_site_occupancy
Sm1 0.250 0.250 0.136 1
As1 0.250 0.250 0.664 1
Ru1 0.250 0.750 0.500 1
O1 0.250 0.750 0.000 1
```

Values from the calculation:
- ΔE_f (raw): -2.0892 eV/atom

[4]
A PBEsol-optimized structure of SnGe2BiRh, computed with meta-GGA SCAN.

CIF file:
```
data_SnGe2BiRh
_chemical_formula_sum 'Sn1 Ge2 Bi1 Rh1'
_symmetry_space_group_name_H-M 'P 4/m m m'
_symmetry_Int_Tables_number 123
_symmetry_space_group_name_Hall '-P 4 2'
_cell_length_a 5.003
_cell_length_b 5.003
_cell_length_c 5.643
_cell_angle_alpha 90.00
_cell_angle_beta 90.00
_cell_angle_gamma 90.00
loop_
_atom_site_label
_atom_site_fract_x
_atom_site_fract_y
_atom_site_fract_z
_atom_site_occupancy
Sn1 0.000 0.000 0.000 1
Ge1 0.000 0.500 0.000 1
Bi1 0.000 0.000 0.500 1
Rh1 0.500 0.500 0.500 1
```

Values from the calculation:
- Formation energy: 1.4731 eV per atom

[5]
A PBEsol-optimized structure of Ca2CdSeF, computed with meta-GGA SCAN.

CIF file:
```
data_Ca2CdSeF
_chemical_formula_sum 'Ca2 Cd1 Se1 F1'
_symmetry_space_group_name_H-M 'P 4/m m m'
_symmetry_Int_Tables_number 123
_symmetry_space_group_name_Hall '-P 4 2'
_cell_length_a 5.548
_cell_length_b 5.548
_cell_length_c 4.502
_cell_angle_alpha 90.00
_cell_angle_beta 90.00
_cell_angle_gamma 90.00
loop_
_atom_site_label
_atom_site_fract_x
_atom_site_fract_y
_atom_site_fract_z
_atom_site_occupancy
Ca1 0.000 0.500 0.000 1
Cd1 0.000 0.000 0.500 1
Se1 0.500 0.500 0.000 1
F1 0.500 0.500 0.500 1
```

Values from the calculation:
- ΔE_f (raw): -0.9642 eV/atom

[6]
A PBEsol-optimized structure of MgZn2Cd, computed with meta-GGA SCAN.

CIF file:
```
data_MgZn2Cd
_chemical_formula_sum 'Mg2 Zn4 Cd2'
_symmetry_space_group_name_H-M 'C m m m'
_symmetry_Int_Tables_number 65
_symmetry_space_group_name_Hall '-C 2 2'
_cell_length_a 5.800
_cell_length_b 7.445
_cell_length_c 3.279
_cell_angle_alpha 90.00
_cell_angle_beta 90.00
_cell_angle_gamma 90.00
loop_
_atom_site_label
_atom_site_fract_x
_atom_site_fract_y
_atom_site_fract_z
_atom_site_occupancy
Mg1 0.000 0.000 0.000 1
Zn1 0.250 0.250 0.500 1
Cd1 0.000 0.500 0.000 1
```

Values from the calculation:
- Energy above the lowest structure with this stoichiometry: 0.0613 eV per atom
- Formation energy: 0.0001 eV per atom

[7]
A PBEsol-optimized structure of LiMn2F6, computed with meta-GGA SCAN.

CIF file:
```
data_LiMn2F6
_chemical_formula_sum 'Li3 Mn6 F18'
_symmetry_space_group_name_H-M 'P 3 2 1'
_symmetry_Int_Tables_number 150
_symmetry_space_group_name_Hall 'P 3 2"'
_cell_length_a 8.8214
_cell_length_b 8.8214
_cell_length_c 5.3828
_cell_angle_alpha 90.00
_cell_angle_beta 90.00
_cell_angle_gamma 120.00
loop_
_atom_site_label
_atom_site_fract_x
_atom_site_fract_y
_atom_site_fract_z
_atom_site_occupancy
Li1 0.0000 0.0000 0.0000 1
Li2 0.3333 0.6667 0.5613 1
Mn1 0.0000 0.3011 0.5000 1
Mn2 0.0000 0.3690 0.0000 1
F1 0.0729 0.2082 0.2404 1
F2 0.1200 0.5155 0.3094 1
F3 0.1984 0.4552 0.7662 1
```

Values from the calculation:
- ΔE_f (raw): -2.7584 eV/atom
- Energy above the lowest structure with this stoichiometry: 0.1059 eV per atom

[8]
A PBEsol-optimized structure of Sc2TiP2, computed with meta-GGA SCAN.

CIF file:
```
data_Sc2TiP2
_chemical_formula_sum 'Sc4 Ti2 P4'
_symmetry_space_group_name_H-M 'P 4/m b m'
_symmetry_Int_Tables_number 127
_symmetry_space_group_name_Hall '-P 4 2ab'
_cell_length_a 6.656
_cell_length_b 6.656
_cell_length_c 3.653
_cell_angle_alpha 90.00
_cell_angle_beta 90.00
_cell_angle_gamma 90.00
loop_
_atom_site_label
_atom_site_fract_x
_atom_site_fract_y
_atom_site_fract_z
_atom_site_occupancy
Sc1 0.164 0.336 0.000 1
Ti1 0.000 0.000 0.500 1
P1 0.142 0.642 0.500 1
```

Values from the calculation:
- Formation energy: -1.2813 eV per atom

These records have total DFT energy (no corrections) values of -23.88, -12.14, -28.51, -35.82, -15.64, -15.60, -9.44, -14.34 eV per atom, in the order they appear.